Arrangement a

## GaGe2I8 (PBE-GGA)

Data for a relaxed GaGe2I8 crystal.

The structure belongs to space group C2/m (No. 12); the cell edges are 14.220, 8.369 and 9.836 Å and the angles 90.00°, 93.14° and 90.00°. The asymmetric unit holds Ga at (0.000, 0.000, 0.000), Ge at (0.191, 0.000, 0.709), I at (0.106, 0.255, 0.806), I at (0.129, 0.500, 0.221) and I at (0.167, 0.000, 0.448).

The calculation puts the total magnetization at 0.00 μB/f.u.


Arrangement b

## GaGe2I8 (PBE-GGA)

Data for a relaxed GaGe2I8 crystal.

The structure belongs to space group C2/m (No. 12); the cell edges are 13.943, 11.409 and 7.510 Å and the angles 90.00°, 101.32° and 90.00°. The asymmetric unit holds Ga at (0.000, 0.000, 0.000), Ge at (0.207, 0.000, 0.694), I at (0.106, 0.500, 0.146), I at (0.119, 0.185, 0.802) and I at (0.161, 0.000, 0.331).

The calculation puts the total magnetization at 0.00 μB/f.u.


Which structure loses on stability? arrangement a does.


Arrangement a

## Ga2GeI6 (PBE-GGA)

Data for a relaxed Ga2GeI6 crystal.

The structure belongs to space group R3 (No. 146, hexagonal axes); the cell edges are 7.5228, 7.5228 and 24.9390 Å and the angles 90.00°, 90.00° and 120.00°. The asymmetric unit holds Ga at (0.0000, 0.0000, 0.0000), Ga at (0.0000, 0.0000, 0.0963), Ge at (0.0000, 0.0000, 0.3814), I at (0.0374, 0.3493, 0.9653) and I at (0.0374, 0.6880, 0.1309).

The calculation puts the total magnetization at 0.00 μB/f.u.


Arrangement b

## Ga2GeI6 (PBE-GGA)

Data for a relaxed Ga2GeI6 crystal.

The structure belongs to space group C2/c (No. 15); the cell edges are 14.807, 14.261 and 9.385 Å and the angles 90.00°, 114.89° and 90.00°. The asymmetric unit holds Ga at (0.192, 0.087, 0.264), Ge at (0.000, 0.400, 0.250), I at (0.105, 0.402, 0.614), I at (0.140, 0.006, 0.972) and I at (0.142, 0.282, 0.224).

The calculation puts the total magnetization at 0.00 μB/f.u.


Which structure loses on stability? arrangement b does.


Arrangement a

## GaGeI2N (PBE-GGA)

Data for a relaxed GaGeI2N crystal.

The structure belongs to space group P4/mmm (No. 123); the cell edges are 6.204, 6.204 and 3.542 Å and the angles 90.00°, 90.00° and 90.00°. The asymmetric unit holds Ga at (0.000, 0.000, 0.000), Ge at (0.500, 0.500, 0.500), I at (0.000, 0.500, 0.500) and N at (0.500, 0.500, 0.000).

The calculation puts the total magnetization at 0.00 μB/f.u.


Arrangement b

## GaGeI2N (PBE-GGA)

Data for a relaxed GaGeI2N crystal.

The structure belongs to space group P4/mmm (No. 123); the cell edges are 5.880, 5.880 and 3.624 Å and the angles 90.00°, 90.00° and 90.00°. The asymmetric unit holds Ga at (0.000, 0.000, 0.000), Ge at (0.500, 0.500, 0.500), I at (0.000, 0.500, 0.000) and N at (0.000, 0.000, 0.500).

The calculation puts the total magnetization at 0.45 μB/f.u.


Which structure loses on stability? arrangement b does.


Arrangement a

## GaGeIO2 (PBE-GGA)

Data for a relaxed GaGeIO2 crystal.

The structure belongs to space group P4/mmm (No. 123); the cell edges are 3.995, 3.995 and 5.565 Å and the angles 90.00°, 90.00° and 90.00°. The asymmetric unit holds Ga at (0.000, 0.000, 0.000), Ge at (0.500, 0.500, 0.500), I at (0.000, 0.000, 0.500) and O at (0.000, 0.500, 0.000).

The calculation puts the total magnetization at 0.04 μB/f.u.


Arrangement b

## GaGeIO2 (PBE-GGA)

Data for a relaxed GaGeIO2 crystal.

The structure belongs to space group P4/mmm (No. 123); the cell edges are 3.947, 3.947 and 6.080 Å and the angles 90.00°, 90.00° and 90.00°. The asymmetric unit holds Ga at (0.000, 0.000, 0.000), Ge at (0.500, 0.500, 0.500), I at (0.500, 0.500, 0.000) and O at (0.000, 0.500, 0.500).

The calculation puts the total magnetization at 0.00 μB/f.u.


Which structure loses on stability? arrangement a does.


Arrangement a

## GaGeI2O (PBE-GGA)

Data for a relaxed GaGeI2O crystal.

The structure belongs to space group P4/mmm (No. 123); the cell edges are 5.840, 5.840 and 3.660 Å and the angles 90.00°, 90.00° and 90.00°. The asymmetric unit holds Ga at (0.000, 0.000, 0.000), Ge at (0.500, 0.500, 0.500), I at (0.000, 0.500, 0.000) and O at (0.000, 0.000, 0.500).

The calculation puts the total magnetization at 0.00 μB/f.u.


Arrangement b

## GaGeI2O (PBE-GGA)

Data for a relaxed GaGeI2O crystal.

The structure belongs to space group P4/mmm (No. 123); the cell edges are 5.991, 5.991 and 3.792 Å and the angles 90.00°, 90.00° and 90.00°. The asymmetric unit holds Ga at (0.000, 0.000, 0.000), Ge at (0.500, 0.500, 0.500), I at (0.000, 0.500, 0.500) and O at (0.500, 0.500, 0.000).

The calculation puts the total magnetization at 0.00 μB/f.u.


Which structure loses on stability? arrangement a does.


Arrangement a

## GaGeTe2I (PBE-GGA)

Data for a relaxed GaGeTe2I crystal.

The structure belongs to space group P4/mmm (No. 123); the cell edges are 5.406, 5.406 and 5.541 Å and the angles 90.00°, 90.00° and 90.00°. The asymmetric unit holds Ga at (0.000, 0.000, 0.000), Ge at (0.500, 0.500, 0.500), Te at (0.000, 0.500, 0.000) and I at (0.000, 0.000, 0.500).

The calculation puts the total magnetization at 0.00 μB/f.u.


Arrangement b

## GaGeTe2I (PBE-GGA)

Data for a relaxed GaGeTe2I crystal.

The structure belongs to space group P4/mmm (No. 123); the cell edges are 5.451, 5.451 and 5.952 Å and the angles 90.00°, 90.00° and 90.00°. The asymmetric unit holds Ga at (0.000, 0.000, 0.000), Ge at (0.500, 0.500, 0.500), Te at (0.000, 0.500, 0.500) and I at (0.500, 0.500, 0.000).

The calculation puts the total magnetization at 0.00 μB/f.u.


Which structure loses on stability? arrangement a does.


Arrangement a

## InGaGe3 (PBE-GGA)

Data for a relaxed InGaGe3 crystal.

The structure belongs to space group Pm-3m (No. 221); the cell edges are 4.988, 4.988 and 4.988 Å and the angles 90.00°, 90.00° and 90.00°. The asymmetric unit holds In at (0.000, 0.000, 0.000), Ga at (0.500, 0.500, 0.500) and Ge at (0.000, 0.500, 0.500).

The calculation puts the total magnetization at 0.00 μB/f.u.


Arrangement b

## InGaGe3 (PBE-GGA)

Data for a relaxed InGaGe3 crystal.

The structure belongs to space group Pm-3m (No. 221); the cell edges are 5.295, 5.295 and 5.295 Å and the angles 90.00°, 90.00° and 90.00°. The asymmetric unit holds In at (0.000, 0.000, 0.000), Ga at (0.500, 0.500, 0.500) and Ge at (0.000, 0.000, 0.500).

The calculation puts the total magnetization at 0.00 μB/f.u.


Which structure loses on stability? arrangement b does.


Arrangement a

## GaGeIr (PBE-GGA)

Data for a relaxed GaGeIr crystal.

The structure belongs to space group Amm2 (No. 38); the cell edges are 4.383, 5.662 and 8.707 Å and the angles 90.00°, 90.00° and 90.00°. The asymmetric unit holds Ga at (0.000, 0.000, 0.000), Ga at (0.500, 0.000, 0.302), Ge at (0.000, 0.000, 0.496), Ge at (0.500, 0.000, 0.678) and Ir at (0.000, 0.249, 0.750).

The calculation puts the total magnetization at 0.00 μB/f.u.


Arrangement b

## GaGeIr (PBE-GGA)

Data for a relaxed GaGeIr crystal.

The structure belongs to space group P-6m2 (No. 187); the cell edges are 4.3556, 4.3556 and 2.9351 Å and the angles 90.00°, 90.00° and 120.00°. The asymmetric unit holds Ga at (0.0000, 0.0000, 0.0000), Ge at (0.3333, 0.6667, 0.5000) and Ir at (0.6667, 0.3333, 0.5000).

The calculation puts the total magnetization at 0.00 μB/f.u.


Arrangement c

## GaGeIr (PBE-GGA)

Data for a relaxed GaGeIr crystal.

The structure belongs to space group Cc (No. 9); the cell edges are 8.105, 5.953 and 5.513 Å and the angles 90.00°, 132.72° and 90.00°. The asymmetric unit holds Ga at (0.000, 0.152, 0.000), Ge at (0.195, 0.346, 0.696) and Ir at (0.348, 0.000, 0.098).

The calculation puts the total magnetization at 0.00 μB/f.u.


Arrangement d

## GaGeIr (PBE-GGA)

Data for a relaxed GaGeIr crystal.

The structure belongs to space group F-43m (No. 216); the cell edges are 5.967, 5.967 and 5.967 Å and the angles 90.00°, 90.00° and 90.00°. The asymmetric unit holds Ga at (0.000, 0.000, 0.000), Ge at (0.000, 0.000, 0.500) and Ir at (0.250, 0.250, 0.750).

The calculation puts the total magnetization at 0.00 μB/f.u.


Which structure loses on stability? arrangement b does.


Arrangement a

## GaGe3Ir (PBE-GGA)

Data for a relaxed GaGe3Ir crystal.

The structure belongs to space group Pm-3m (No. 221); the cell edges are 4.735, 4.735 and 4.735 Å and the angles 90.00°, 90.00° and 90.00°. The asymmetric unit holds Ga at (0.000, 0.000, 0.000), Ge at (0.000, 0.000, 0.500) and Ir at (0.500, 0.500, 0.500).

The calculation puts the total magnetization at 0.00 μB/f.u.


Arrangement b

## GaGe3Ir (PBE-GGA)

Data for a relaxed GaGe3Ir crystal.

The structure belongs to space group Pm-3m (No. 221); the cell edges are 4.843, 4.843 and 4.843 Å and the angles 90.00°, 90.00° and 90.00°. The asymmetric unit holds Ga at (0.000, 0.000, 0.000), Ge at (0.000, 0.500, 0.500) and Ir at (0.500, 0.500, 0.500).

The calculation puts the total magnetization at 0.00 μB/f.u.


Which structure loses on stability? arrangement a does.


Arrangement a

## KGa3Ge (PBE-GGA)

Data for a relaxed KGa3Ge crystal.

The structure belongs to space group C2/m (No. 12); the cell edges are 13.470, 5.534 and 9.356 Å and the angles 90.00°, 133.48° and 90.00°. The asymmetric unit holds K at (0.250, 0.000, 0.198), Ga at (0.020, 0.249, 0.269), Ga at (0.250, 0.000, 0.570), Ge at (0.000, 0.000, 0.500) and Ge at (0.000, 0.500, 0.000).

The calculation puts the total magnetization at 0.00 μB/f.u.


Arrangement b

## KGa3Ge (PBE-GGA)

Data for a relaxed KGa3Ge crystal.

The structure belongs to space group Pm-3m (No. 221); the cell edges are 5.281, 5.281 and 5.281 Å and the angles 90.00°, 90.00° and 90.00°. The asymmetric unit holds K at (0.000, 0.000, 0.000), Ga at (0.000, 0.500, 0.500) and Ge at (0.500, 0.500, 0.500).

The calculation puts the total magnetization at 0.00 μB/f.u.


Arrangement c

## KGa3Ge (PBE-GGA)

Data for a relaxed KGa3Ge crystal.

The structure belongs to space group Pm-3m (No. 221); the cell edges are 5.578, 5.578 and 5.578 Å and the angles 90.00°, 90.00° and 90.00°. The asymmetric unit holds K at (0.000, 0.000, 0.000), Ga at (0.000, 0.000, 0.500) and Ge at (0.500, 0.500, 0.500).

The calculation puts the total magnetization at 0.00 μB/f.u.


Which structure loses on stability? arrangement c does.


Arrangement a

## K2Ga2Ge (PBE-GGA)

Data for a relaxed K2Ga2Ge crystal.

The structure belongs to space group P4/mbm (No. 127); the cell edges are 7.009, 7.009 and 5.742 Å and the angles 90.00°, 90.00° and 90.00°. The asymmetric unit holds K at (0.187, 0.313, 0.000), Ga at (0.130, 0.630, 0.500) and Ge at (0.000, 0.000, 0.500).

The calculation puts the total magnetization at 0.00 μB/f.u.


Arrangement b

## K2Ga2Ge (PBE-GGA)

Data for a relaxed K2Ga2Ge crystal.

The structure belongs to space group I4/mmm (No. 139); the cell edges are 4.436, 4.436 and 14.843 Å and the angles 90.00°, 90.00° and 90.00°. The asymmetric unit holds K at (0.000, 0.500, 0.250), Ga at (0.000, 0.000, 0.083) and Ge at (0.000, 0.000, 0.500).

The calculation puts the total magnetization at 0.00 μB/f.u.


Arrangement c

## K2Ga2Ge (PBE-GGA)

Data for a relaxed K2Ga2Ge crystal.

The structure belongs to space group C2/c (No. 15); the cell edges are 10.728, 7.050 and 8.405 Å and the angles 90.00°, 96.49° and 90.00°. The asymmetric unit holds K at (0.167, 0.098, 0.170), Ga at (0.100, 0.342, 0.502) and Ge at (0.000, 0.461, 0.750).

The calculation puts the total magnetization at 0.00 μB/f.u.


Which structure loses on stability? arrangement b does.